No. 1
## CaNdSmSc (GGA-PBE)

Data for a relaxed structure of CaNdSmSc.

a = 5.6976 Å, b = 5.6976 Å, c = 5.6976 Å
α = 60.00°, β = 60.00°, γ = 60.00°
Sites, in units of the cell vectors:
Ca1 0.0000 0.0000 0.0000
Nd1 0.7500 0.7500 0.7500
Sm1 0.2500 0.2500 0.2500
Sc1 0.5000 0.5000 0.5000

Calculated values
Space group: F-43m (216)
Formation enthalpy at 0 K in meV/atom: 137

---

No. 2
## CsPmSb2 (GGA-PBE)

Data for a relaxed structure of CsPmSb2.

a = 5.4795 Å, b = 5.4795 Å, c = 4.5727 Å
α = 90.00°, β = 90.00°, γ = 90.00°
Sites, in units of the cell vectors:
Cs1 0.0000 0.0000 0.0000
Pm1 0.5000 0.5000 0.0000
Sb1 0.0000 0.5000 0.5000
Sb2 0.5000 0.0000 0.5000

Calculated values
Raw formation energy in kJ/mol of formula units: -86
Space group: P4/mmm (123)
E above lowest polymorph in meV/atom: 464

---

No. 3
## LiSiAg (GGA-PBE)

Data for a relaxed structure of LiSiAg.

a = 4.7087 Å, b = 4.7087 Å, c = 4.7087 Å
α = 144.95°, β = 129.38°, γ = 63.06°
Sites, in units of the cell vectors:
Li1 0.0000 0.0000 0.0000
Si1 0.6657 0.6657 0.0000
Ag1 0.3311 0.3311 0.0000

Calculated values
Raw formation energy in kJ/mol of formula units: -17
Space group: Imm2 (44)
E above lowest polymorph in meV/atom: 41

---

One value per record, in order, for total moment: 0.0 0.0 0.0 Bohr magnetons per cell.